No. 1
## SrNiRu2 (GGA-PBE)

Data for an optimized crystal structure of SrNiRu2.

Summary:
The calculation puts the formation energy at 2.96 eV/f.u. The distance to the lowest polymorph of the same formula is 534.7 meV per atom. The uncorrected energy comes out at -23.06 eV per cell. For the spin magnetization, the calculation gives 0.01 μB/atom. The density of states at the Fermi level comes out at 1.5148 states/eV per atom. As for the space-group type: No. 119. As for the crystal system: tetragonal.

Lattice parameters (Å, degrees): 4.674 4.674 4.674 123.74 123.74 83.64
Fractional positions:
Ni (0.750, 0.250, 0.500)
Ru (0.000, 0.000, 0.000)
Ru (0.250, 0.750, 0.500)
Sr (0.500, 0.500, 0.000)

***

No. 2
## SrNi2Ru (GGA-PBE)

Data for an optimized crystal structure of SrNi2Ru.

Summary:
The calculation puts the formation energy at 1.57 eV/f.u. The distance to the lowest polymorph of the same formula is 336.0 meV per atom. The uncorrected energy comes out at -20.95 eV per cell. For the spin magnetization, the calculation gives 0.00 μB/atom. The density of states at the Fermi level comes out at 0.8059 states/eV per atom. As for the space-group type: No. 6. As for the crystal system: monoclinic.

Lattice parameters (Å, degrees): 4.167 2.853 5.913 76.21 90.00 90.00
Fractional positions:
Ni (0.000, 0.163, 0.048)
Ni (0.500, 0.048, 0.280)
Ru (0.000, 0.492, 0.394)
Sr (0.500, 0.798, 0.778)

***

No. 3
## SrNi2Ru (GGA-PBE)

Data for an optimized crystal structure of SrNi2Ru.

Summary:
The calculation puts the formation energy at 2.80 eV/f.u. The distance to the lowest polymorph of the same formula is 641.4 meV per atom. The uncorrected energy comes out at -19.72 eV per cell. For the spin magnetization, the calculation gives 0.00 μB/atom. The density of states at the Fermi level comes out at 1.3645 states/eV per atom. As for the space-group type: No. 10. As for the crystal system: monoclinic.

Lattice parameters (Å, degrees): 2.732 5.374 5.482 53.38 90.00 90.00
Fractional positions:
Ni (0.000, 0.000, 0.000)
Ni (0.500, 0.500, 0.000)
Ru (0.500, 0.500, 0.500)
Sr (0.000, 0.000, 0.500)

***

No. 4
## SrNi2Ru (GGA-PBE)

Data for an optimized crystal structure of SrNi2Ru.

Summary:
The calculation puts the formation energy at 2.40 eV/f.u. The distance to the lowest polymorph of the same formula is 541.9 meV per atom. The uncorrected energy comes out at -20.12 eV per cell. For the spin magnetization, the calculation gives 0.50 μB/atom. The density of states at the Fermi level comes out at 0.8124 states/eV per atom. As for the space-group type: No. 225. As for the crystal system: cubic.

Lattice parameters (Å, degrees): 4.559 4.559 4.559 60.00 60.00 60.00
Last column: magnetic moment on the atom in μB.
Fractional positions:
Ru (0.500, 0.500, 0.500)  1.21
Ni (0.250, 0.250, 0.250)  0.43
Ni (0.750, 0.750, 0.750)  0.43
Sr (0.000, 0.000, 0.000)  -0.03